[1]
VASP calculation (PBE-GGA) on crystalline BAuI at its relaxed geometry.

Values from the calculation:
DOS at the Fermi energy = 0.89 states/eV/f.u.
Total magnetic moment = 0.000 μB/atom
Formation energy from raw total energies = 0.64 eV per atom
Energy relative to the lowest polymorph listed for this composition = 318 meV per atom

a = 3.130 Å, b = 3.354 Å, c = 6.669 Å
α = 104.17°, β = 103.03°, γ = 90.00°
Space group P1 (No. 1)
One atom of each set of equivalent atoms:
B  0.000  0.000  0.000
Au  0.467  0.466  0.930
I  0.176  0.177  0.365



[2]
VASP calculation (PBE-GGA) on crystalline Nd2HoPa2Ru5 at its relaxed geometry.

Values from the calculation:
DOS at the Fermi energy = 7.49 states/eV/f.u.
Formation enthalpy at 0 K = -0.27 eV/atom
Total magnetic moment = 0.000 μB/atom

a = 10.745 Å, b = 10.745 Å, c = 3.695 Å
α = 90.00°, β = 90.00°, γ = 90.00°
Space group P4/mbm (No. 127)
One atom of each set of equivalent atoms:
Nd  0.175  0.325  0.000
Ho  0.000  0.000  0.000
Pa  0.134  0.634  0.000
Ru  0.000  0.500  0.500
Ru  0.053  0.790  0.500



[3]
VASP calculation (PBE-GGA) on crystalline Cu5AsPt6 at its relaxed geometry.

Values from the calculation:
DOS at the Fermi energy = 4.11 states/eV/f.u.
Formation enthalpy at 0 K = -0.19 eV/atom
Total magnetic moment = 0.000 μB/atom

a = 4.037 Å, b = 7.044 Å, c = 11.969 Å
α = 90.00°, β = 90.00°, γ = 90.00°
Space group Immm (No. 71)
One atom of each set of equivalent atoms:
Cu  0.000  0.000  0.000
Cu  0.000  0.000  0.315
Cu  0.000  0.500  0.340
As  0.000  0.500  0.000
Pt  0.000  0.236  0.500
Pt  0.000  0.261  0.165



[4]
VASP calculation (PBE-GGA) on crystalline Sr2SmPd9 at its relaxed geometry.

Values from the calculation:
DOS at the Fermi energy = 9.02 states/eV/f.u.
Formation enthalpy at 0 K = -0.56 eV/atom
Total magnetic moment = 0.000 μB/atom

a = 5.4476 Å, b = 5.4476 Å, c = 18.2755 Å
α = 90.00°, β = 90.00°, γ = 120.00°
Space group P6_3/mmc (No. 194)
One atom of each set of equivalent atoms:
Sr  0.3333  0.6667  0.0399
Sm  0.3333  0.6667  0.2500
Pd  0.0000  0.0000  0.0000
Pd  0.0000  0.0000  0.2500
Pd  0.1673  0.3346  0.6261
Pd  0.3333  0.6667  0.7500



Question: Which value of total magnetic moment does entry 4 give?
Answer: 0.000 μB/atom



Question: Which of these has the highest DOS at the Fermi energy?
Answer: Sr2SmPd9